CsAs | GGA-PBE | relaxed

The mass density is 3.5 g/cm³. The total energy is -3.0569 eV/atom. The calculation puts the calculated volume at 49.5 Å³/atom. The energy relative to the lowest polymorph listed for this composition is 0.294 eV/f.u. The formation enthalpy at 0 K comes out at -0.305 eV per atom.

The structure belongs to space group P4/m (No. 83); the cell edges are 13.223, 13.223 and 4.526 Å and the angles 90.00°, 90.00° and 90.00°. The distinct sites, in fractional coordinates, are Cs at (0.001, 0.282, 0.000), Cs at (0.321, 0.675, 0.500), As at (0.091, 0.463, 0.500) and As at (0.173, 0.518, 0.000).